[1]
Entry from Alexandria: crystalline RbMgSe3 at its relaxed geometry (PBE-GGA).

Output
SG = No. 221
E_form (uncorrected) = 0.83 eV per atom
Crystal system = cubic
Total DFT energy (no corrections) = -8.88 eV/f.u.

Cell lengths 5.833, 5.833, 5.833 Å; angles 90.00, 90.00, 90.00 degrees
Element x y z (fractional)
Rb 0.000 0.000 0.000
Mg 0.500 0.500 0.500
Se 0.000 0.000 0.500
Se 0.000 0.500 0.000
Se 0.500 0.000 0.000


[2]
Entry from Alexandria: crystalline Rb2MgSe2 at its relaxed geometry (PBE-GGA).

Output
SG = No. 139
E_form (uncorrected) = -0.22 eV per atom
Crystal system = tetragonal
Total DFT energy (no corrections) = -11.59 eV/f.u.

Cell lengths 11.988, 11.988, 11.988 Å; angles 160.25, 160.25, 28.07 degrees
Element x y z (fractional)
Rb 0.133 0.133 0.000
Rb 0.867 0.867 0.000
Mg 0.500 0.500 0.000
Se 0.250 0.750 0.500
Se 0.750 0.250 0.500


[3]
Entry from Alexandria: crystalline Rb2MgTaSe4 at its relaxed geometry (PBE-GGA).

Output
SG = No. 70
E_form (uncorrected) = -0.98 eV per atom
Crystal system = orthorhombic
Total DFT energy (no corrections) = -37.19 eV/f.u.

Cell lengths 14.377, 12.898, 7.829 Å; angles 84.05, 63.16, 32.79 degrees
Element x y z (fractional)
Rb 0.054 0.054 0.696
Rb 0.304 0.304 0.946
Rb 0.696 0.696 0.054
Rb 0.946 0.946 0.304
Mg 0.125 0.125 0.125
Mg 0.875 0.875 0.875
Ta 0.375 0.375 0.375
Ta 0.625 0.625 0.625
Se 0.012 0.345 0.434
Se 0.291 0.566 0.655
Se 0.345 0.012 0.709
Se 0.434 0.709 0.012
Se 0.566 0.291 0.988
Se 0.655 0.988 0.291
Se 0.709 0.434 0.345
Se 0.988 0.655 0.566


[4]
Entry from Alexandria: crystalline Rb3Tb2MgSe6 at its relaxed geometry (PBE-GGA).

Output
SG = No. 12
E_form (uncorrected) = -1.45 eV per atom
Crystal system = monoclinic
Total DFT energy (no corrections) = -52.01 eV/f.u.

Cell lengths 7.262, 7.262, 8.402 Å; angles 98.29, 98.29, 120.00 degrees
Element x y z (fractional)
Rb 0.000 0.000 0.000
Rb 0.332 0.668 0.000
Rb 0.668 0.332 0.000
Tb 0.167 0.833 0.500
Tb 0.833 0.167 0.500
Mg 0.500 0.500 0.500
Se 0.108 0.435 0.306
Se 0.237 0.237 0.694
Se 0.435 0.108 0.306
Se 0.565 0.892 0.694
Se 0.763 0.763 0.306
Se 0.892 0.565 0.694